(1)
Th2Co3B12Ir: optimized geometry, PBE.

Calculated values
E_form, eV/f.u.: -0.6
E_tot, eV/atom: -6.984
Magnetization, μB per cell: 3.17

a = 7.861 Å, b = 7.861 Å, c = 7.861 Å
α = 43.31°, β = 43.31°, γ = 43.31°
Atoms (fractional coordinates):
Th 0.130 0.130 0.130
Th 0.870 0.870 0.870
Co 0.000 0.500 0.500
Co 0.500 0.000 0.500
Co 0.500 0.500 0.000
B 0.132 0.580 0.580
B 0.161 0.161 0.467
B 0.161 0.467 0.161
B 0.420 0.420 0.868
B 0.420 0.868 0.420
B 0.467 0.161 0.161
B 0.533 0.839 0.839
B 0.580 0.132 0.580
B 0.580 0.580 0.132
B 0.839 0.533 0.839
B 0.839 0.839 0.533
B 0.868 0.420 0.420
Ir 0.500 0.500 0.500

=====

(2)
TbGaIr: optimized geometry, PBE.

Calculated values
E_form, eV/f.u.: -2.2
E_tot, eV/atom: -6.248
Magnetization, μB per cell: 0.00

a = 4.338 Å, b = 4.338 Å, c = 3.739 Å
α = 90.00°, β = 90.00°, γ = 120.00°
Atoms (fractional coordinates):
Tb 0.000 0.000 0.000
Ga 0.333 0.667 0.500
Ir 0.667 0.333 0.500

=====

(3)
Al2Rh: optimized geometry, PBE.

Calculated values
E_form, eV/f.u.: -2.3
E_tot, eV/atom: -5.701
Magnetization, μB per cell: 0.00

a = 6.306 Å, b = 6.306 Å, c = 3.905 Å
α = 90.00°, β = 90.00°, γ = 146.41°
Atoms (fractional coordinates):
Al 0.073 0.927 0.750
Al 0.250 0.750 0.250
Al 0.750 0.250 0.750
Al 0.927 0.073 0.250
Rh 0.403 0.597 0.750
Rh 0.597 0.403 0.250

=====

(4)
Pr3Ag3Hg2: optimized geometry, PBE.

Calculated values
E_form, eV/f.u.: -2.4
E_tot, eV/atom: -3.242
Magnetization, μB per cell: 0.00

a = 6.117 Å, b = 6.117 Å, c = 15.352 Å
α = 90.00°, β = 90.00°, γ = 133.24°
Atoms (fractional coordinates):
Pr 0.085 0.915 0.603
Pr 0.085 0.915 0.897
Pr 0.352 0.648 0.750
Pr 0.648 0.352 0.250
Pr 0.915 0.085 0.103
Pr 0.915 0.085 0.397
Ag 0.370 0.630 0.250
Ag 0.392 0.608 0.543
Ag 0.392 0.608 0.957
Ag 0.608 0.392 0.043
Ag 0.608 0.392 0.457
Ag 0.630 0.370 0.750
Hg 0.208 0.792 0.105
Hg 0.208 0.792 0.395
Hg 0.792 0.208 0.605
Hg 0.792 0.208 0.895

=====

(5)
TiOs3N: optimized geometry, PBE.

Calculated values
E_form (uncorrected), meV per atom: 197
E_tot, eV/atom: -9.785
Magnetization, μB per cell: 0.00

a = 4.052 Å, b = 4.052 Å, c = 4.052 Å
α = 90.00°, β = 90.00°, γ = 90.00°
Atoms (fractional coordinates):
Ti 0.000 0.000 0.000
Os 0.000 0.500 0.500
Os 0.500 0.000 0.500
Os 0.500 0.500 0.000
N 0.500 0.500 0.500

=====

(6)
RbTlIn2I8: optimized geometry, PBE.

Calculated values
E_form (uncorrected), meV per atom: -706
E_tot, eV/atom: -2.474
Magnetization, μB per cell: 0.00

a = 7.797 Å, b = 7.797 Å, c = 11.898 Å
α = 90.00°, β = 90.00°, γ = 120.00°
Atoms (fractional coordinates):
Rb 0.000 0.000 0.000
Tl 0.000 0.000 0.500
In 0.333 0.667 0.772
In 0.667 0.333 0.228
I 0.005 0.671 0.299
I 0.329 0.334 0.299
I 0.333 0.667 0.003
I 0.334 0.005 0.701
I 0.666 0.995 0.299
I 0.667 0.333 0.997
I 0.671 0.666 0.701
I 0.995 0.329 0.701

=====

(7)
Cs2VPbI6: optimized geometry, PBE.

Calculated values
E_form (uncorrected), meV per atom: -906
E_tot, eV/atom: -3.289
Magnetization, μB per cell: 3.00

a = 8.578 Å, b = 8.578 Å, c = 8.578 Å
α = 60.00°, β = 60.00°, γ = 60.00°
Atoms (fractional coordinates):
Cs 0.250 0.250 0.250
Cs 0.750 0.750 0.750
V 0.000 0.000 0.000
Pb 0.500 0.500 0.500
I 0.236 0.236 0.764
I 0.236 0.764 0.236
I 0.236 0.764 0.764
I 0.764 0.236 0.236
I 0.764 0.236 0.764
I 0.764 0.764 0.236

=====

(8)
PrMgAlCd: optimized geometry, PBE.

Calculated values
E_form, eV/f.u.: -1.0
E_tot, eV/atom: -3.016
Magnetization, μB per cell: 0.00

a = 5.145 Å, b = 5.145 Å, c = 5.145 Å
α = 60.00°, β = 60.00°, γ = 60.00°
Atoms (fractional coordinates):
Pr 0.000 0.000 0.000
Mg 0.500 0.500 0.500
Al 0.750 0.750 0.750
Cd 0.250 0.250 0.250

=====

(9)
Sb2Pd4Pb3: optimized geometry, PBE.

Calculated values
E_form (uncorrected), meV per atom: -252
E_tot, eV/atom: -4.712
Magnetization, μB per cell: 0.00

a = 5.907 Å, b = 5.907 Å, c = 8.922 Å
α = 98.66°, β = 98.66°, γ = 42.85°
Atoms (fractional coordinates):
Sb 0.165 0.165 0.295
Sb 0.835 0.835 0.705
Pd 0.204 0.204 0.599
Pd 0.405 0.405 0.875
Pd 0.595 0.595 0.125
Pd 0.796 0.796 0.401
Pb 0.122 0.122 0.893
Pb 0.500 0.500 0.500
Pb 0.878 0.878 0.107

=====

(10)
KY2MgTe4: optimized geometry, PBE.

Calculated values
E_form (uncorrected), meV per atom: -1191
E_tot, eV/atom: -4.714
Magnetization, μB per cell: 0.00

a = 7.919 Å, b = 7.919 Å, c = 15.809 Å
α = 90.00°, β = 90.00°, γ = 147.36°
Atoms (fractional coordinates):
K 0.121 0.879 0.750
K 0.879 0.121 0.250
Y 0.374 0.626 0.556
Y 0.374 0.626 0.944
Y 0.626 0.374 0.056
Y 0.626 0.374 0.444
Mg 0.160 0.840 0.250
Mg 0.840 0.160 0.750
Te 0.000 0.000 0.000
Te 0.000 0.000 0.500
Te 0.266 0.734 0.109
Te 0.266 0.734 0.391
Te 0.446 0.554 0.750
Te 0.554 0.446 0.250
Te 0.734 0.266 0.609
Te 0.734 0.266 0.891

=====

(11)
SrSmIO2: optimized geometry, PBE.

Calculated values
E_form (uncorrected), meV per atom: -2760
E_tot, eV/atom: -6.334
Magnetization, μB per cell: 0.00

a = 7.382 Å, b = 4.348 Å, c = 8.283 Å
α = 90.00°, β = 106.53°, γ = 90.00°
Atoms (fractional coordinates):
Sr 0.152 0.250 0.417
Sr 0.848 0.750 0.583
Sm 0.140 0.250 0.909
Sm 0.860 0.750 0.091
I 0.463 0.750 0.756
I 0.537 0.250 0.244
O 0.005 0.750 0.359
O 0.029 0.750 0.900
O 0.971 0.250 0.100
O 0.995 0.250 0.641

=====

(12)
InMo2Rh: optimized geometry, PBE.

Calculated values
E_form, eV/f.u.: 0.3
E_tot, eV/atom: -7.867
Magnetization, μB per cell: 0.00

a = 2.854 Å, b = 2.854 Å, c = 8.154 Å
α = 90.00°, β = 90.00°, γ = 90.11°
Atoms (fractional coordinates):
In 0.000 0.000 0.000
Mo 0.000 0.000 0.469
Mo 0.500 0.500 0.726
Rh 0.500 0.500 0.253

=====

(13)
ErMgRuAu: optimized geometry, PBE.

Calculated values
E_form, eV/f.u.: -1.7
E_tot, eV/atom: -5.090
Magnetization, μB per cell: 0.00

a = 4.734 Å, b = 4.734 Å, c = 4.734 Å
α = 60.00°, β = 60.00°, γ = 60.00°
Atoms (fractional coordinates):
Er 0.000 0.000 0.000
Mg 0.500 0.500 0.500
Ru 0.250 0.250 0.250
Au 0.750 0.750 0.750

=====

(14)
Dy4Te3S: optimized geometry, PBE.

Calculated values
E_form (uncorrected), meV per atom: -1403
E_tot, eV/atom: -5.398
Magnetization, μB per cell: 0.00

a = 5.874 Å, b = 11.767 Å, c = 6.371 Å
α = 90.00°, β = 90.00°, γ = 90.00°
Atoms (fractional coordinates):
Dy 0.250 0.017 0.188
Dy 0.250 0.250 0.809
Dy 0.250 0.483 0.188
Dy 0.250 0.750 0.812
Dy 0.750 0.250 0.188
Dy 0.750 0.517 0.812
Dy 0.750 0.750 0.191
Dy 0.750 0.983 0.812
Te 0.250 0.000 0.702
Te 0.250 0.500 0.702
Te 0.250 0.750 0.301
Te 0.750 0.000 0.298
Te 0.750 0.250 0.699
Te 0.750 0.500 0.298
S 0.250 0.250 0.238
S 0.750 0.750 0.762

=====

(15)
ScTe2As: optimized geometry, PBE.

Calculated values
E_form (uncorrected), meV per atom: -280
E_tot, eV/atom: -4.597
Magnetization, μB per cell: 0.00

a = 5.115 Å, b = 5.115 Å, c = 3.678 Å
α = 90.00°, β = 90.00°, γ = 90.00°
Atoms (fractional coordinates):
Sc 0.000 0.000 0.000
Te 0.000 0.500 0.500
Te 0.500 0.000 0.500
As 0.500 0.500 0.000

=====

(16)
ZnCrFe2N: optimized geometry, PBE.

Calculated values
E_form (uncorrected), meV per atom: -144
E_tot, eV/atom: -7.374
Magnetization, μB per cell: 4.74

a = 3.812 Å, b = 3.812 Å, c = 3.807 Å
α = 90.00°, β = 90.00°, γ = 90.00°
Atoms (fractional coordinates):
Zn 0.000 0.000 0.000
Cr 0.500 0.500 0.000
Fe 0.000 0.500 0.500
Fe 0.500 0.000 0.500
N 0.500 0.500 0.500

=====

(17)
Na2SiAg2: optimized geometry, PBE.

Calculated values
E_form (uncorrected), meV per atom: 83
E_tot, eV/atom: -2.670
Magnetization, μB per cell: 0.00

a = 6.712 Å, b = 6.712 Å, c = 4.894 Å
α = 90.00°, β = 90.00°, γ = 90.00°
Atoms (fractional coordinates):
Na 0.171 0.329 0.000
Na 0.329 0.829 0.000
Na 0.671 0.171 0.000
Na 0.829 0.671 0.000
Si 0.000 0.000 0.500
Si 0.500 0.500 0.500
Ag 0.152 0.652 0.500
Ag 0.348 0.152 0.500
Ag 0.652 0.848 0.500
Ag 0.848 0.348 0.500

=====

(18)
Nd6Fe13Cu: optimized geometry, PBE.

Calculated values
E_form, eV/f.u.: 0.0
E_tot, eV/atom: -7.134
Magnetization, μB per cell: 52.29

a = 12.719 Å, b = 12.719 Å, c = 12.719 Å
α = 143.18°, β = 143.18°, γ = 53.05°
Atoms (fractional coordinates):
Nd 0.024 0.524 0.172
Nd 0.108 0.108 0.000
Nd 0.148 0.976 0.500
Nd 0.352 0.852 0.828
Nd 0.392 0.392 0.000
Nd 0.476 0.648 0.500
Nd 0.524 0.352 0.500
Nd 0.608 0.608 0.000
Nd 0.648 0.148 0.172
Nd 0.852 0.024 0.500
Nd 0.892 0.892 0.000
Nd 0.976 0.476 0.828
Fe 0.000 0.500 0.500
Fe 0.017 0.290 0.500
Fe 0.067 0.209 0.276
Fe 0.119 0.619 0.858
Fe 0.209 0.933 0.143
Fe 0.210 0.483 0.500
Fe 0.239 0.739 0.858
Fe 0.261 0.119 0.500
Fe 0.290 0.790 0.272
Fe 0.291 0.433 0.724
Fe 0.381 0.239 0.500
Fe 0.433 0.709 0.143
Fe 0.483 0.983 0.272
Fe 0.500 0.000 0.500
Fe 0.517 0.017 0.728
Fe 0.567 0.291 0.857
Fe 0.619 0.761 0.500
Fe 0.709 0.567 0.276
Fe 0.710 0.210 0.728
Fe 0.739 0.881 0.500
Fe 0.761 0.261 0.142
Fe 0.790 0.517 0.500
Fe 0.791 0.067 0.857
Fe 0.881 0.381 0.142
Fe 0.933 0.791 0.724
Fe 0.983 0.710 0.500
Cu 0.250 0.250 0.000
Cu 0.750 0.750 0.000

=====

(19)
Pm4Al2CdAu: optimized geometry, PBE.

Calculated values
E_form, eV/f.u.: -3.4
E_tot, eV/atom: -4.259
Magnetization, μB per cell: 0.00

a = 9.200 Å, b = 9.200 Å, c = 9.200 Å
α = 33.45°, β = 33.45°, γ = 33.45°
Atoms (fractional coordinates):
Pm 0.121 0.121 0.121
Pm 0.371 0.371 0.371
Pm 0.629 0.629 0.629
Pm 0.879 0.879 0.879
Al 0.245 0.245 0.245
Al 0.755 0.755 0.755
Cd 0.500 0.500 0.500
Au 0.000 0.000 0.000

=====

(20)
PmPrTmGa: optimized geometry, PBE.

Calculated values
E_form, eV/f.u.: -0.4
E_tot, eV/atom: -4.367
Magnetization, μB per cell: 0.00

a = 5.417 Å, b = 5.417 Å, c = 5.417 Å
α = 60.00°, β = 60.00°, γ = 60.00°
Atoms (fractional coordinates):
Pm 0.000 0.000 0.000
Pr 0.500 0.500 0.500
Tm 0.750 0.750 0.750
Ga 0.250 0.250 0.250

=====

(21)
Re2AgIr: optimized geometry, PBE.

Calculated values
E_form, eV/f.u.: 1.6
E_tot, eV/atom: -8.763
Magnetization, μB per cell: 0.00

a = 2.720 Å, b = 2.720 Å, c = 9.548 Å
α = 90.00°, β = 90.00°, γ = 116.85°
Atoms (fractional coordinates):
Re 0.000 0.000 0.000
Re 0.500 0.500 0.234
Ag 0.500 0.500 0.734
Ir 0.000 0.000 0.472

=====

(22)
Cd7HgPb2: optimized geometry, PBE.

Calculated values
E_form, eV/f.u.: 3.5
E_tot, eV/atom: -1.066
Magnetization, μB per cell: 0.00

a = 7.618 Å, b = 7.618 Å, c = 7.618 Å
α = 60.00°, β = 60.00°, γ = 60.00°
Atoms (fractional coordinates):
Cd 0.000 0.000 0.000
Cd 0.249 0.249 0.751
Cd 0.249 0.751 0.249
Cd 0.249 0.751 0.751
Cd 0.751 0.249 0.249
Cd 0.751 0.249 0.751
Cd 0.751 0.751 0.249
Hg 0.500 0.500 0.500
Pb 0.250 0.250 0.250
Pb 0.750 0.750 0.750

=====

(23)
BWN: optimized geometry, PBE.

Calculated values
E_form (uncorrected), meV per atom: -22
E_tot, eV/atom: -9.341
Magnetization, μB per cell: 0.00

a = 4.304 Å, b = 4.304 Å, c = 5.670 Å
α = 115.61°, β = 115.61°, γ = 36.55°
Atoms (fractional coordinates):
B 0.014 0.014 0.347
B 0.986 0.986 0.653
W 0.283 0.283 0.734
W 0.717 0.717 0.266
N 0.416 0.416 0.181
N 0.584 0.584 0.819